{"formula": "In3SeI", "functional": "PBE", "state": "optimized geometry", "lattice_angstrom": [[8.869, 0.000, 0.000], [0.000, 4.436, 0.000], [-1.165, 0.000, 9.297]], "species": ["In", "In", "In", "In", "In", "In", "Se", "Se", "I", "I"], "fractional_positions": [[0.022, 0.250, 0.359], [0.309, 0.750, 0.510], [0.440, 0.750, 0.113], [0.560, 0.250, 0.887], [0.691, 0.250, 0.490], [0.978, 0.750, 0.641], [0.402, 0.250, 0.320], [0.598, 0.750, 0.680], [0.176, 0.250, 0.829], [0.824, 0.750, 0.171]], "crystal_system": "monoclinic", "rho_g_cm3": 5.0, "energy_ev_per_atom": -2.965, "de_polymorph_kj_per_mol_fu": 0, "raw_formation_energy_ev_per_atom": -0.315}